Sr3LaMn4O10: relaxed, PBE+U.

calculated total energy = -7.264 eV/atom

```
Sr3LaMn4O10
1.0
3.979 0.000 0.000
0.000 5.631 0.012
0.000 0.046 10.806
Sr La Mn O
3 1 4 10
direct
0.500 0.791 0.862
0.500 0.711 0.372
0.500 0.291 0.633
0.500 0.189 0.136
0.000 0.238 0.376
0.000 0.767 0.623
0.000 0.728 0.121
0.000 0.269 0.880
0.000 0.939 0.281
0.000 0.051 0.727
0.000 0.416 0.198
0.000 0.548 0.779
0.000 0.501 0.500
0.000 0.007 0.005
0.500 0.228 0.382
0.500 0.799 0.605
0.500 0.728 0.110
0.500 0.298 0.909
```